1.
! Pm4Er5 (GGA-PBE, relaxed); values from VASP
! **Energy of formation**: 0.020 eV/atom
! **Symmetry**: I4/mmm, No. 139
! **V**: 32.1 Å³ per atom
! **Electronic total energy**: -41.6 eV per formula unit
&SYSTEM
  ibrav = 0, nat = 9, ntyp = 2
/
ATOMIC_SPECIES
Pm 145.00 Pm.upf
Er 167.26 Er.upf
ATOMIC_POSITIONS crystal
Pm 0.1665 0.1665 0.3331
Pm 0.1665 0.8335 0.0000
Pm 0.8335 0.1665 0.0000
Pm 0.8335 0.8335 0.6669
Er 0.1652 0.5000 0.6652
Er 0.5000 0.1652 0.6652
Er 0.5000 0.5000 0.0000
Er 0.5000 0.8348 0.3348
Er 0.8348 0.5000 0.3348
CELL_PARAMETERS angstrom
-5.3607 5.3607 2.5153
5.3607 -5.3607 2.5153
5.3607 5.3607 -2.5153



2.
! CsLaHg2Cl8 (GGA-PBE, relaxed); values from VASP
! **Formation energy without anion corrections**: -1419 meV/atom
! **Symmetry**: P-1, No. 2
! **V**: 36.9 Å³ per atom
! **Electronic total energy**: -38.2 eV per formula unit
&SYSTEM
  ibrav = 0, nat = 12, ntyp = 4
/
ATOMIC_SPECIES
Cs 132.91 Cs.upf
La 138.91 La.upf
Hg 200.59 Hg.upf
Cl 35.45 Cl.upf
ATOMIC_POSITIONS crystal
Cs 0.0000 0.0000 0.0000
La 0.0000 0.0000 0.5000
Hg 0.3499 0.3445 0.2742
Hg 0.6501 0.6555 0.7258
Cl 0.2195 0.7523 0.7000
Cl 0.2449 0.7720 0.2980
Cl 0.2653 0.2620 0.4986
Cl 0.3363 0.3143 0.0484
Cl 0.6637 0.6857 0.9516
Cl 0.7347 0.7380 0.5014
Cl 0.7551 0.2280 0.7020
Cl 0.7805 0.2477 0.3000
CELL_PARAMETERS angstrom
6.6955 0.0000 0.0000
2.1306 6.3935 0.0000
0.6463 0.3504 10.3527



3.
! NiP (GGA-PBE, relaxed); values from VASP
! **Energy of formation**: -0.177 eV/atom
! **Symmetry**: Pmmn, No. 59
! **V**: 12.2 Å³ per atom
! **Electronic total energy**: -11.5 eV per formula unit
&SYSTEM
  ibrav = 0, nat = 4, ntyp = 2
/
ATOMIC_SPECIES
Ni 58.69 Ni.upf
P 30.97 P.upf
ATOMIC_POSITIONS crystal
Ni 0.2500 0.2500 0.1375
Ni 0.7500 0.7500 0.8625
P 0.2500 0.7500 0.3470
P 0.7500 0.2500 0.6530
CELL_PARAMETERS angstrom
2.9302 0.0000 0.0000
0.0000 4.3628 0.0000
0.0000 0.0000 3.8059



4.
! BaNaSr2Ag (GGA-PBE, relaxed); values from VASP
! **Energy of formation**: -0.070 eV/atom
! **Symmetry**: P4/mmm, No. 123
! **V**: 51.2 Å³ per atom
! **Polymorph energy (0 for the lowest one)**: 0.0 meV per atom
! **Electronic total energy**: -9.8 eV per formula unit
&SYSTEM
  ibrav = 0, nat = 5, ntyp = 4
/
ATOMIC_SPECIES
Ba 137.33 Ba.upf
Na 22.99 Na.upf
Sr 87.62 Sr.upf
Ag 107.87 Ag.upf
ATOMIC_POSITIONS crystal
Ba 0.0000 0.0000 0.0000
Na 0.5000 0.5000 0.0000
Sr 0.0000 0.5000 0.5000
Sr 0.5000 0.0000 0.5000
Ag 0.0000 0.0000 0.5000
CELL_PARAMETERS angstrom
6.2764 0.0000 0.0000
0.0000 6.2764 0.0000
0.0000 0.0000 6.4950



5.
! ThZrMn4 (GGA-PBE, relaxed); values from VASP
! **Energy of formation**: 0.004 eV/atom
! **Symmetry**: F-43m, No. 216
! **V**: 16.0 Å³ per atom
! **Electronic total energy**: -52.6 eV per formula unit
&SYSTEM
  ibrav = 0, nat = 6, ntyp = 3
/
ATOMIC_SPECIES
Th 232.04 Th.upf
Zr 91.22 Zr.upf
Mn 54.94 Mn.upf
ATOMIC_POSITIONS crystal
Th 0.0000 0.0000 0.0000
Zr 0.7500 0.7500 0.7500
Mn 0.3758 0.3758 0.3758
Mn 0.3758 0.3758 0.8727
Mn 0.3758 0.8727 0.3758
Mn 0.8727 0.3758 0.3758
CELL_PARAMETERS angstrom
0.0000 3.6365 3.6365
3.6365 0.0000 3.6365
3.6365 3.6365 0.0000



6.
! Rb3NaTh2S6 (GGA-PBE, relaxed); values from VASP
! **Formation energy without anion corrections**: -1685 meV/atom
! **Symmetry**: C2/m, No. 12
! **V**: 30.1 Å³ per atom
! **Electronic total energy**: -64.0 eV per formula unit
&SYSTEM
  ibrav = 0, nat = 12, ntyp = 4
/
ATOMIC_SPECIES
Rb 85.47 Rb.upf
Na 22.99 Na.upf
Th 232.04 Th.upf
S 32.06 S.upf
ATOMIC_POSITIONS crystal
Rb 0.0000 0.0000 0.0000
Rb 0.3424 0.6576 0.0000
Rb 0.6576 0.3424 0.0000
Na 0.5000 0.5000 0.5000
Th 0.1674 0.8326 0.5000
Th 0.8326 0.1674 0.5000
S 0.0736 0.4338 0.3013
S 0.2072 0.2072 0.6945
S 0.4338 0.0736 0.3013
S 0.5662 0.9264 0.6987
S 0.7928 0.7928 0.3055
S 0.9264 0.5662 0.6987
CELL_PARAMETERS angstrom
3.6875 -6.3851 0.0000
3.6875 6.3851 0.0000
-2.4450 0.0000 7.6779



7.
! KOs2W (GGA-PBE, relaxed); values from VASP
! **Energy of formation**: 1.469 eV/atom
! **Symmetry**: C2/m, No. 12
! **V**: 17.5 Å³ per atom
! **Polymorph energy (0 for the lowest one)**: 780.8 meV per atom
! **Electronic total energy**: -30.6 eV per formula unit
&SYSTEM
  ibrav = 0, nat = 4, ntyp = 3
/
ATOMIC_SPECIES
K 39.10 K.upf
Os 190.23 Os.upf
W 183.84 W.upf
ATOMIC_POSITIONS crystal
K 0.0000 0.0000 0.0000
Os 0.0000 0.5000 0.5000
Os 0.5000 0.0000 0.5000
W 0.5000 0.5000 0.0000
CELL_PARAMETERS angstrom
3.1731 -4.2851 0.0000
3.1731 4.2851 0.0000
-0.0113 0.0000 2.5783



8.
! TlCdC2 (GGA-PBE, relaxed); values from VASP
! **Energy of formation**: 2.398 eV/atom
! **Symmetry**: Fm-3m, No. 225
! **V**: 15.2 Å³ per atom
! **Polymorph energy (0 for the lowest one)**: 354.4 meV per atom
! **Electronic total energy**: -12.1 eV per formula unit
&SYSTEM
  ibrav = 0, nat = 4, ntyp = 3
/
ATOMIC_SPECIES
Tl 204.38 Tl.upf
Cd 112.41 Cd.upf
C 12.01 C.upf
ATOMIC_POSITIONS crystal
Tl 0.0000 0.0000 0.0000
Cd 0.5000 0.5000 0.5000
C 0.2500 0.2500 0.2500
C 0.7500 0.7500 0.7500
CELL_PARAMETERS angstrom
0.0000 3.1243 3.1243
3.1243 0.0000 3.1243
3.1243 3.1243 0.0000



> The highest V belongs to which entry?

BaNaSr2Ag



> The highest V belongs to which entry?

BaNaSr2Ag



Copy entry 4 word for word.
! BaNaSr2Ag (GGA-PBE, relaxed); values from VASP
! **Energy of formation**: -0.070 eV/atom
! **Symmetry**: P4/mmm, No. 123
! **V**: 51.2 Å³ per atom
! **Polymorph energy (0 for the lowest one)**: 0.0 meV per atom
! **Electronic total energy**: -9.8 eV per formula unit
&SYSTEM
  ibrav = 0, nat = 5, ntyp = 4
/
ATOMIC_SPECIES
Ba 137.33 Ba.upf
Na 22.99 Na.upf
Sr 87.62 Sr.upf
Ag 107.87 Ag.upf
ATOMIC_POSITIONS crystal
Ba 0.0000 0.0000 0.0000
Na 0.5000 0.5000 0.0000
Sr 0.0000 0.5000 0.5000
Sr 0.5000 0.0000 0.5000
Ag 0.0000 0.0000 0.5000
CELL_PARAMETERS angstrom
6.2764 0.0000 0.0000
0.0000 6.2764 0.0000
0.0000 0.0000 6.4950



> Look up the V of the sixth one.

30.1 Å³ per atom